Entry 1:
Density functional theory data (PBE) for a geometry-optimized La8H structure.

Cell lengths 7.5435, 7.5435, 6.0842 Å; angles 90.00, 90.00, 120.00 degrees
Last column: nearest neighbours and their distance in Å.
Fractional coordinates of all 9 atoms:
La: 0.1654 0.3307 0.2469  1 H 2.65
La: 0.1654 0.8346 0.2469  1 H 2.65
La: 0.3307 0.1654 0.7531  1 H 2.65
La: 0.3333 0.6667 0.7186  12 La 3.61-3.89
La: 0.6667 0.3333 0.2814  12 La 3.61-3.89
La: 0.6693 0.8346 0.2469  1 H 2.65
La: 0.8346 0.1654 0.7531  1 H 2.65
La: 0.8346 0.6693 0.7531  1 H 2.65
H: 0.0000 0.0000 0.5000  6 La 2.65

Properties
Density (g cm⁻³): 6.2
Space-group type: P-3m1
E_tot (eV per formula unit): -43.20

***

Entry 2:
Density functional theory data (PBE) for a geometry-optimized LaH structure.

Cell lengths 3.9450, 11.5562, 5.6110 Å; angles 90.00, 90.00, 90.00 degrees
Last column: nearest neighbours and their distance in Å.
Fractional coordinates of all 12 atoms:
La: 0.2500 0.0860 0.2478  4 H 2.39-2.42
La: 0.2500 0.4140 0.2478  4 H 2.39-2.42
La: 0.2500 0.7500 0.2393  4 H 2.38-2.42
La: 0.7500 0.2500 0.7607  4 H 2.38-2.42
La: 0.7500 0.5860 0.7522  4 H 2.39-2.42
La: 0.7500 0.9140 0.7522  4 H 2.39-2.42
H: 0.2500 0.2500 0.5117  4 La 2.41-2.42
H: 0.2500 0.5826 0.9924  4 La 2.38-2.42
H: 0.2500 0.9174 0.9924  4 La 2.38-2.42
H: 0.7500 0.0826 0.0076  4 La 2.38-2.42
H: 0.7500 0.4174 0.0076  4 La 2.38-2.42
H: 0.7500 0.7500 0.4883  4 La 2.41-2.42

Properties
Density (g cm⁻³): 5.4
Space-group type: Pmmn
E_tot (eV per formula unit): -9.09

***

Entry 3:
Density functional theory data (PBE) for a geometry-optimized LaH structure.

Cell lengths 3.7071, 3.7071, 3.7071 Å; angles 60.00, 60.00, 60.00 degrees
Last column: nearest neighbours and their distance in Å.
Fractional coordinates of all 2 atoms:
La: 0.0000 0.0000 0.0000  6 H 2.62
H: 0.5000 0.5000 0.5000  6 La 2.62

Properties
Density (g cm⁻³): 6.4
Space-group type: Fm-3m
E_tot (eV per formula unit): -9.18

***

Entry 4:
Density functional theory data (PBE) for a geometry-optimized LaH structure.

Cell lengths 3.9066, 3.9066, 3.9066 Å; angles 60.00, 60.00, 60.00 degrees
Last column: nearest neighbours and their distance in Å.
Fractional coordinates of all 2 atoms:
La: 0.0000 0.0000 0.0000  4 H 2.39
H: 0.2500 0.2500 0.2500  4 La 2.39

Properties
Density (g cm⁻³): 5.5
Space-group type: F-43m
E_tot (eV per formula unit): -8.99

***

- What is the density in the first record?
  6.2 g cm⁻³

***

- Among the records above, which one has the highest E_tot?
  number 4